# MnRu3F, optimized geometry, DFT PBE with a Hubbard U
# * DOS(E_F): 7.885 states/eV per cell
# * total magnetic moment: 3.687 μB per formula unit
# * electronic total energy: -6.507 eV per atom
# * energy relative to the lowest polymorph listed for this composition: 0 meV per atom
# * volume: 14.841 Å³ per atom
data_MnRu3F
_cell_length_a 4.202
_cell_length_b 4.202
_cell_length_c 4.202
_cell_angle_alpha 90.00
_cell_angle_beta 90.00
_cell_angle_gamma 90.00
_space_group_name_H-M_alt 'P m -3 m'
_space_group_IT_number 221
_space_group_name_Hall '-P 4 2 3'
loop_
_atom_site_label
_atom_site_type_symbol
_atom_site_fract_x
_atom_site_fract_y
_atom_site_fract_z
Mn1 Mn 0.000 0.000 0.000
Ru1 Ru 0.000 0.500 0.500
F1 F 0.500 0.500 0.500